# OsAuNO2 | the Alexandria database | PBE-GGA | relaxed
# * energy: -4.665 eV/atom
# * magnetization: 4.5 μB per formula unit
# * E_form (uncorrected): 1885 meV per atom
# * V: 13.30 Å³ per atom
data_OsAuNO2
_chemical_formula_sum 'Os1 Au1 N1 O2'
_cell_length_a 4.022
_cell_length_b 4.022
_cell_length_c 4.110
_cell_angle_alpha 90.00
_cell_angle_beta 90.00
_cell_angle_gamma 90.00
_symmetry_space_group_name_H-M 'P 4/m m m'
_symmetry_Int_Tables_number 123
_symmetry_space_group_name_Hall '-P 4 2'
loop_
_atom_site_label
_atom_site_fract_x
_atom_site_fract_y
_atom_site_fract_z
Os1 0.000 0.000 0.000
Au1 0.500 0.500 0.500
N1 0.500 0.500 0.000
O1 0.000 0.500 0.500